The following is a PBE calculation of a relaxed structure of PBrO3, from Alexandria.

Results
Formation energy from raw total energies = 0.0017 eV per atom
Space-group type = No. 221

Lattice parameters (Å, degrees): 3.6543 3.6543 3.6543 90.00 90.00 90.00
Fractional coordinates of all 5 atoms:
P 0.0000 0.0000 0.0000
Br 0.5000 0.5000 0.5000
O 0.0000 0.0000 0.5000
O 0.0000 0.5000 0.0000
O 0.5000 0.0000 0.0000

The following is a PBE calculation of a relaxed structure of PBrO3, from Alexandria.

Results
Formation energy from raw total energies = 1.0443 eV per atom
Space-group type = No. 221

Lattice parameters (Å, degrees): 4.0132 4.0132 4.0132 90.00 90.00 90.00
Fractional coordinates of all 5 atoms:
P 0.0000 0.0000 0.0000
Br 0.5000 0.5000 0.5000
O 0.0000 0.5000 0.5000
O 0.5000 0.0000 0.5000
O 0.5000 0.5000 0.0000

The following is a PBE calculation of a relaxed structure of PaP2BrO8, from Alexandria.

Results
Formation energy from raw total energies = -2.1519 eV per atom
Space-group type = No. 164

Lattice parameters (Å, degrees): 5.5658 5.5658 8.5545 90.00 90.00 120.00
Fractional coordinates of all 12 atoms:
Pa 0.0000 0.0000 0.0000
P 0.3333 0.6667 0.7840
P 0.6667 0.3333 0.2160
Br 0.0000 0.0000 0.5000
O 0.1837 0.3674 0.8543
O 0.1837 0.8163 0.8543
O 0.3333 0.6667 0.6062
O 0.3674 0.1837 0.1457
O 0.6326 0.8163 0.8543
O 0.6667 0.3333 0.3938
O 0.8163 0.1837 0.1457
O 0.8163 0.6326 0.1457

The following is a PBE calculation of a relaxed structure of PaP2Br2O6, from Alexandria.

Results
Formation energy from raw total energies = -1.9940 eV per atom
Space-group type = No. 166

Lattice parameters (Å, degrees): 6.2524 6.2524 6.2524 58.75 58.75 58.75
Fractional coordinates of all 11 atoms:
Pa 0.0000 0.0000 0.0000
P 0.4237 0.4237 0.4237
P 0.5763 0.5763 0.5763
Br 0.1913 0.1913 0.1913
Br 0.8087 0.8087 0.8087
O 0.2547 0.2547 0.6675
O 0.2547 0.6675 0.2547
O 0.3325 0.7453 0.7453
O 0.6675 0.2547 0.2547
O 0.7453 0.3325 0.7453
O 0.7453 0.7453 0.3325

The following is a PBE calculation of a relaxed structure of P2PbBrO, from Alexandria.

Results
Energy relative to the lowest polymorph listed for this composition = 0.0000 eV per atom
Formation energy from raw total energies = 0.8581 eV per atom
Space-group type = No. 123

Lattice parameters (Å, degrees): 5.0023 5.0023 4.0504 90.00 90.00 90.00
Fractional coordinates of all 5 atoms:
P 0.0000 0.5000 0.0000
P 0.5000 0.0000 0.0000
Pb 0.0000 0.0000 0.5000
Br 0.5000 0.5000 0.0000
O 0.5000 0.5000 0.5000

The following is a PBE calculation of a relaxed structure of P3Pb5BrO12, from Alexandria.

Results
Formation energy from raw total energies = -1.8449 eV per atom
Space-group type = No. 173

Lattice parameters (Å, degrees): 10.2688 10.2688 7.4848 90.00 90.00 120.00
Fractional coordinates of all 42 atoms:
P 0.0355 0.4146 0.0000
P 0.3791 0.9645 0.0000
P 0.4146 0.3791 0.5000
P 0.5854 0.6209 0.0000
P 0.6209 0.0355 0.5000
P 0.9645 0.5854 0.5000
Pb 0.0145 0.7496 0.9673
Pb 0.2504 0.2649 0.9673
Pb 0.2649 0.0145 0.4673
Pb 0.3333 0.6667 0.2506
Pb 0.3333 0.6667 0.7393
Pb 0.6667 0.3333 0.2393
Pb 0.6667 0.3333 0.7506
Pb 0.7351 0.9855 0.9673
Pb 0.7496 0.7351 0.4673
Pb 0.9855 0.2504 0.4673
Br 0.0000 0.0000 0.2286
Br 0.0000 0.0000 0.7286
O 0.0885 0.3748 0.1768
O 0.0889 0.3547 0.8405
O 0.1258 0.5923 0.9864
O 0.1357 0.6453 0.4962
O 0.2658 0.9111 0.8405
O 0.2863 0.9115 0.1768
O 0.3547 0.2658 0.3405
O 0.3547 0.4904 0.4962
O 0.3748 0.2863 0.6768
O 0.4077 0.5334 0.9864
O 0.4666 0.8742 0.9864
O 0.4904 0.1357 0.9962
O 0.5096 0.8643 0.4962
O 0.5334 0.1258 0.4864
O 0.5923 0.4666 0.4864
O 0.6252 0.7137 0.1768
O 0.6453 0.5096 0.9962
O 0.6453 0.7342 0.8405
O 0.7137 0.0885 0.6768
O 0.7342 0.0889 0.3405
O 0.8643 0.3547 0.9962
O 0.8742 0.4077 0.4864
O 0.9111 0.6453 0.3405
O 0.9115 0.6252 0.6768

What is the formation energy from raw total energies in the sixth record?
-1.8449 eV per atom

Look up the formation energy from raw total energies of the fourth one.
-1.9940 eV per atom